No. 1
8
Lattice="4.445 0.000 0.000 0.000 4.445 0.000 0.000 0.000 6.291" Properties=species:S:1:pos:R:3 comment="Li2Sc2Al2CuPd (PBE-GGA, optimized geometry)" dft_energy_ev_per_atom=-4.61 pbc="T T T"
Sc 0.000 2.223 4.749
Sc 2.223 0.000 1.542
Li 2.223 2.223 0.000
Li 0.000 0.000 3.145
Al 2.223 0.000 4.731
Al 0.000 2.223 1.559
Pd 2.223 2.223 3.145
Cu 0.000 0.000 0.000



No. 2
8
Lattice="-3.542 -1.945 -0.253 3.196 -5.341 -3.697 1.230 -2.929 5.294" Properties=species:S:1:pos:R:3 comment="SrZrAsO (PBE-GGA, optimized geometry)" dft_energy_ev_per_atom=-6.79 pbc="T T T"
As 2.679 -4.805 -0.578
As 2.055 -4.199 3.502
Sr 3.851 -7.202 1.443
Sr 0.890 -1.818 1.510
Zr -0.030 -3.990 -1.313
Zr 0.602 -5.482 1.314
O -0.365 -3.652 0.781
O 1.562 -7.308 1.910



Which formula does entry 2 have?
SrZrAsO



Copy entry 2 word for word.
8
Lattice="-3.542 -1.945 -0.253 3.196 -5.341 -3.697 1.230 -2.929 5.294" Properties=species:S:1:pos:R:3 comment="SrZrAsO (PBE-GGA, optimized geometry)" dft_energy_ev_per_atom=-6.79 pbc="T T T"
As 2.679 -4.805 -0.578
As 2.055 -4.199 3.502
Sr 3.851 -7.202 1.443
Sr 0.890 -1.818 1.510
Zr -0.030 -3.990 -1.313
Zr 0.602 -5.482 1.314
O -0.365 -3.652 0.781
O 1.562 -7.308 1.910



What is the formula in the second record?
SrZrAsO